First-principles (PBE) data for crystalline DyB6 at its relaxed geometry, as listed in the Alexandria database.

Geometry as POSCAR:
```
DyB6
1.0
5.0153 0.0000 0.0000
0.0000 5.0153 0.0000
0.0000 0.0000 5.0153
Dy B
2 12
Direct
0.0000 0.0000 0.0000
0.5000 0.5000 0.5000
0.0000 0.2500 0.5000
0.0000 0.5000 0.2500
0.0000 0.5000 0.7500
0.0000 0.7500 0.5000
0.2500 0.0000 0.5000
0.2500 0.5000 0.0000
0.5000 0.0000 0.2500
0.5000 0.0000 0.7500
0.5000 0.2500 0.0000
0.5000 0.7500 0.0000
0.7500 0.0000 0.5000
0.7500 0.5000 0.0000
```

## Properties
The value obtained for the density of states at the Fermi level is 0.5071 states/eV/atom. The calculated formation energy is -62 meV per atom. The calculation puts the distance to the lowest polymorph of the same formula at 0.332 eV/atom.

---

First-principles (PBE) data for crystalline K3ZrH at its relaxed geometry, as listed in the Alexandria database.

Geometry as POSCAR:
```
K3ZrH
1.0
5.7082 0.0000 0.0000
0.0000 5.7082 0.0000
0.0000 0.0000 5.7082
K Zr H
3 1 1
Direct
0.0000 0.0000 0.5000
0.0000 0.5000 0.0000
0.5000 0.0000 0.0000
0.5000 0.5000 0.5000
0.0000 0.0000 0.0000
```

## Properties
The value obtained for the density of states at the Fermi level is 1.2459 states/eV/atom. The energy comes out at -2.29 eV/atom.

---

First-principles (PBE) data for crystalline KSrN3 at its relaxed geometry, as listed in the Alexandria database.

Geometry as POSCAR:
```
KSrN3
1.0
4.8918 0.0000 0.0000
0.0000 4.8918 0.0000
0.0000 0.0000 4.8918
K Sr N
1 1 3
Direct
0.0000 0.0000 0.0000
0.5000 0.5000 0.5000
0.0000 0.5000 0.5000
0.5000 0.0000 0.5000
0.5000 0.5000 0.0000
```

## Properties
The value obtained for the density of states at the Fermi level is 0.6973 states/eV/atom. The energy comes out at -4.03 eV/atom.

---

First-principles (PBE) data for crystalline NdHoZnHg at its relaxed geometry, as listed in the Alexandria database.

Geometry as POSCAR:
```
NdHoZnHg
1.0
7.4186 0.0000 0.0000
0.0000 7.4186 0.0000
0.0000 0.0000 7.4186
Nd Ho Zn Hg
4 4 4 4
Direct
0.0000 0.0000 0.0000
0.0000 0.5000 0.5000
0.5000 0.0000 0.5000
0.5000 0.5000 0.0000
0.0000 0.0000 0.5000
0.0000 0.5000 0.0000
0.5000 0.0000 0.0000
0.5000 0.5000 0.5000
0.2500 0.2500 0.2500
0.2500 0.7500 0.7500
0.7500 0.2500 0.7500
0.7500 0.7500 0.2500
0.2500 0.2500 0.7500
0.2500 0.7500 0.2500
0.7500 0.2500 0.2500
0.7500 0.7500 0.7500
```

## Properties
The value obtained for the density of states at the Fermi level is 1.0546 states/eV/atom. The calculated formation energy is -374 meV per atom. The calculation puts the distance to the lowest polymorph of the same formula at 0.030 eV/atom.

---

What did the first record say?
First-principles (PBE) data for crystalline DyB6 at its relaxed geometry, as listed in the Alexandria database.

Geometry as POSCAR:
```
DyB6
1.0
5.0153 0.0000 0.0000
0.0000 5.0153 0.0000
0.0000 0.0000 5.0153
Dy B
2 12
Direct
0.0000 0.0000 0.0000
0.5000 0.5000 0.5000
0.0000 0.2500 0.5000
0.0000 0.5000 0.2500
0.0000 0.5000 0.7500
0.0000 0.7500 0.5000
0.2500 0.0000 0.5000
0.2500 0.5000 0.0000
0.5000 0.0000 0.2500
0.5000 0.0000 0.7500
0.5000 0.2500 0.0000
0.5000 0.7500 0.0000
0.7500 0.0000 0.5000
0.7500 0.5000 0.0000
```

## Properties
The value obtained for the density of states at the Fermi level is 0.5071 states/eV/atom. The calculated formation energy is -62 meV per atom. The calculation puts the distance to the lowest polymorph of the same formula at 0.332 eV/atom.